Entry 1:
The following is a DFT calculation (PBE) of an optimized crystal structure of Y2TcW.

a b c (Å): 3.0396 4.7374 5.8323
angles (deg): 90.00 102.38 90.00
Last column: nearest neighbours and their distance in Å.
Space group P2/m (No. 10)
One atom of each set of equivalent atoms:
Y  0.2001  0.0000  0.2547  2 Tc 2.90, 4 Y 2.96-3.05, 2 W 3.04
Tc  0.0000  0.5000  0.5000  4 Y 2.90, 2 W 2.99, 2 Tc 3.04
W  0.5000  0.5000  0.0000  2 Tc 2.99, 8 Y 3.04-3.32, 2 W 3.04

Values from the calculation:
- ΔE to the lowest computed polymorph (eV per atom) = 0.481
- VASP energy (eV/atom) = -8.50
- density (g/cm3) = 9.30
- E_form (meV per atom) = 557

---

Entry 2:
The following is a DFT calculation (PBE) of an optimized crystal structure of KLaSb2.

a b c (Å): 6.2978 6.2978 20.7716
angles (deg): 90.00 90.00 90.00
Last column: nearest neighbours and their distance in Å.
Space group I-42d (No. 122)
One atom of each set of equivalent atoms:
K  0.0000  0.0000  0.0000  4 Sb 4.02, 4 La 4.45
La  0.0000  0.0000  0.5000  4 Sb 3.08
Sb  0.0809  0.2500  0.6250  2 La 3.08, 2 Sb 3.31

Values from the calculation:
- ΔE to the lowest computed polymorph (eV per atom) = 0.419
- raw formation energy (eV/atom) = -0.330
- VASP energy (eV/atom) = -3.90
- density (g/cm3) = 3.40

---

Entry 3:
The following is a DFT calculation (PBE) of an optimized crystal structure of SrAl2Cl2.

a b c (Å): 7.4423 7.4423 5.3536
angles (deg): 90.00 90.00 90.00
Last column: nearest neighbours and their distance in Å.
Space group P4/mbm (No. 127)
One atom of each set of equivalent atoms:
Sr  0.0000  0.0000  0.0000  4 Cl 2.80
Al  0.2334  0.2666  0.5000  2 Cl 2.79
Cl  0.1589  0.3411  0.0000  2 Al 2.79, 2 Sr 2.80

Values from the calculation:
- ΔE to the lowest computed polymorph (eV per atom) = 0.330
- raw formation energy (eV/atom) = -0.635
- VASP energy (eV/atom) = -3.21
- density (g/cm3) = 2.38

---

Entry 4:
The following is a DFT calculation (PBE) of an optimized crystal structure of Nd4Hg5Ir2.

a b c (Å): 7.8312 3.7876 9.7111
angles (deg): 90.00 94.68 90.00
Last column: nearest neighbours and their distance in Å.
Space group P2/m (No. 10)
One atom of each set of equivalent atoms:
Nd  0.1814  0.0000  0.3488  2 Ir 2.85
Nd  0.2192  0.0000  0.9398  4 Ir 2.99-3.04
Hg  0.1692  0.5000  0.6445  1 Ir 2.96, 2 Hg 3.05-3.31
Hg  0.4563  0.5000  0.1704  1 Ir 2.96, 2 Hg 3.19-3.31
Hg  0.5000  0.5000  0.5000  4 Hg 3.05-3.19, 4 Nd 3.37
Ir  0.0768  0.5000  0.1399  6 Nd 2.85-3.04, 1 Ir 2.88, 2 Hg 2.96

Values from the calculation:
- VASP energy (eV/atom) = -4.00
- density (g/cm3) = 11.36
- E_form (meV per atom) = -516

---

What did the first record say?
The following is a DFT calculation (PBE) of an optimized crystal structure of Y2TcW.

a b c (Å): 3.0396 4.7374 5.8323
angles (deg): 90.00 102.38 90.00
Last column: nearest neighbours and their distance in Å.
Space group P2/m (No. 10)
One atom of each set of equivalent atoms:
Y  0.2001  0.0000  0.2547  2 Tc 2.90, 4 Y 2.96-3.05, 2 W 3.04
Tc  0.0000  0.5000  0.5000  4 Y 2.90, 2 W 2.99, 2 Tc 3.04
W  0.5000  0.5000  0.0000  2 Tc 2.99, 8 Y 3.04-3.32, 2 W 3.04

Values from the calculation:
- ΔE to the lowest computed polymorph (eV per atom) = 0.481
- VASP energy (eV/atom) = -8.50
- density (g/cm3) = 9.30
- E_form (meV per atom) = 557